DFT (GGA-PBE) results for crystalline Ac2IN at its relaxed geometry.

```
Ac2IN
1.0
3.971 0.000 0.000
-1.985 3.439 0.000
0.000 0.000 28.492
Ac I N
6 3 3
direct
0.000 0.000 0.115
0.000 0.000 0.885
0.333 0.667 0.552
0.333 0.667 0.781
0.667 0.333 0.219
0.667 0.333 0.448
0.000 0.000 0.000
0.333 0.667 0.667
0.667 0.333 0.333
0.000 0.000 0.500
0.333 0.667 0.167
0.667 0.333 0.833
```

Values from the calculation:
energy above the most stable polymorph in this dataset	0.94	eV/f.u.
crystal system	trigonal
symmetry	R-3m (166)


DFT (GGA-PBE) results for crystalline Ac2I3N at its relaxed geometry.

```
Ac2I3N
1.0
10.344 -2.185 0.000
10.344 2.185 0.000
-7.445 0.000 10.839
Ac I N
4 6 2
direct
0.074 0.074 0.461
0.368 0.368 0.223
0.632 0.632 0.777
0.926 0.926 0.539
0.166 0.166 0.008
0.278 0.278 0.374
0.461 0.461 0.759
0.539 0.539 0.241
0.722 0.722 0.626
0.834 0.834 0.992
0.071 0.071 0.647
0.929 0.929 0.353
```

Values from the calculation:
crystal system	monoclinic
symmetry	C2/m (12)


DFT (GGA-PBE) results for crystalline Ac2I2N at its relaxed geometry.

```
Ac2I2N
1.0
11.565 0.000 0.000
0.000 7.953 0.000
-2.086 0.000 7.948
Ac I N
8 8 4
direct
0.020 0.165 0.344
0.020 0.335 0.844
0.300 0.115 0.749
0.300 0.385 0.249
0.700 0.615 0.751
0.700 0.885 0.251
0.980 0.665 0.156
0.980 0.835 0.656
0.188 0.555 0.595
0.188 0.945 0.095
0.472 0.739 0.408
0.472 0.761 0.908
0.528 0.239 0.092
0.528 0.261 0.592
0.812 0.055 0.905
0.812 0.445 0.405
0.091 0.105 0.650
0.091 0.395 0.150
0.909 0.605 0.850
0.909 0.895 0.350
```

Values from the calculation:
energy above the most stable polymorph in this dataset	0.68	eV/f.u.
crystal system	monoclinic
symmetry	P2_1/c (14)


DFT (GGA-PBE) results for crystalline AcNdIN at its relaxed geometry.

```
AcNdIN
1.0
6.733 0.000 0.000
0.000 3.874 0.000
-2.242 0.000 8.117
Ac Nd I N
2 2 2 2
direct
0.000 0.000 0.000
0.500 0.500 0.000
0.283 0.500 0.346
0.783 0.000 0.346
0.218 0.000 0.654
0.718 0.500 0.654
0.401 0.000 0.202
0.901 0.500 0.202
```

Values from the calculation:
crystal system	monoclinic
symmetry	Cm (8)


DFT (GGA-PBE) results for crystalline Ac4NiI2N at its relaxed geometry.

```
Ac4NiI2N
1.0
7.365 0.000 0.000
0.000 4.073 0.000
-2.550 0.000 8.473
Ac Ni I N
4 1 2 1
direct
0.200 0.000 0.179
0.261 0.500 0.820
0.739 0.500 0.180
0.800 0.000 0.821
0.500 0.000 0.000
0.000 0.000 0.500
0.500 0.500 0.500
0.000 0.500 0.000
```

Values from the calculation:
crystal system	monoclinic
symmetry	P2/m (10)


DFT (GGA-PBE) results for crystalline Ac8Ni3I4N at its relaxed geometry.

```
Ac8Ni3I4N
1.0
7.300 -4.307 0.000
7.300 4.307 0.000
-4.774 0.000 8.560
Ac Ni I N
8 3 4 1
direct
0.203 0.203 0.674
0.222 0.735 0.686
0.265 0.778 0.314
0.275 0.275 0.320
0.725 0.725 0.680
0.735 0.222 0.686
0.778 0.265 0.314
0.797 0.797 0.326
0.000 0.500 0.500
0.500 0.000 0.500
0.500 0.500 0.500
0.000 0.000 0.000
0.000 0.500 0.000
0.500 0.000 0.000
0.500 0.500 0.000
0.000 0.000 0.500
```

Values from the calculation:
crystal system	monoclinic
symmetry	C2/m (12)


DFT (GGA-PBE) results for crystalline Ac6Ni2I3N at its relaxed geometry.

```
Ac6Ni2I3N
1.0
3.623 -6.298 0.000
3.623 6.298 0.000
-2.406 0.000 8.568
Ac Ni I N
6 2 3 1
direct
0.061 0.372 0.182
0.249 0.249 0.816
0.372 0.061 0.182
0.628 0.939 0.818
0.751 0.751 0.184
0.939 0.628 0.818
0.334 0.666 0.000
0.666 0.334 0.000
0.172 0.828 0.500
0.500 0.500 0.500
0.828 0.172 0.500
0.000 0.000 0.000
```

Values from the calculation:
crystal system	monoclinic
symmetry	C2/m (12)


DFT (GGA-PBE) results for crystalline Ac2INO at its relaxed geometry.

```
Ac2INO
1.0
4.350 0.000 0.000
0.000 4.350 0.000
0.000 0.000 14.524
Ac I N O
4 2 2 2
direct
0.000 0.000 0.170
0.000 0.000 0.830
0.500 0.500 0.330
0.500 0.500 0.670
0.000 0.000 0.500
0.500 0.500 0.000
0.000 0.500 0.250
0.500 0.000 0.750
0.000 0.500 0.750
0.500 0.000 0.250
```

Values from the calculation:
crystal system	tetragonal
symmetry	I-4m2 (119)


DFT (GGA-PBE) results for crystalline Ac4OsI2N at its relaxed geometry.

```
Ac4OsI2N
1.0
7.204 0.000 0.000
0.000 4.254 0.000
-2.445 0.000 8.531
Ac Os I N
4 1 2 1
direct
0.218 0.000 0.177
0.247 0.500 0.822
0.753 0.500 0.178
0.782 0.000 0.823
0.500 0.000 0.000
0.000 0.000 0.500
0.500 0.500 0.500
0.000 0.500 0.000
```

Values from the calculation:
crystal system	monoclinic
symmetry	P2/m (10)


DFT (GGA-PBE) results for crystalline Ac4Pb2IN2 at its relaxed geometry.

```
Ac4Pb2IN2
1.0
9.209 -2.148 0.000
9.209 2.148 0.000
-5.609 0.000 8.674
Ac Pb I N
4 2 1 2
direct
0.029 0.029 0.302
0.267 0.267 0.663
0.733 0.733 0.337
0.971 0.971 0.698
0.401 0.401 0.365
0.599 0.599 0.635
0.500 0.500 0.000
0.177 0.177 0.381
0.823 0.823 0.619
```

Values from the calculation:
crystal system	monoclinic
symmetry	C2/m (12)


Quick rundown of formation energy from raw total energies, same order as above: -3.41; -9.10; -6.39; -4.50; -6.80; -12.30; -9.58; -10.76; -6.44; -8.43 eV/f.u.
Quick rundown of calculated total energy, same order as above: -5.3749; -5.0490; -5.2074; -5.8124; -5.0551; -4.8151; -4.8975; -6.7616; -5.6916; -5.6091 eV/atom